Below is Ba3SnCl at its PBEsol-relaxed geometry, with properties calculated at the SCAN level.

As for the space group: Pm-3m. The uncorrected formation energy comes out at -656 meV per atom.

Unit cell a=6.635 b=6.635 c=6.635 alpha=90.00 beta=90.00 gamma=90.00
Sites, in units of the cell vectors:
Sn: 0.000 0.000 0.000
Ba: 0.000 0.500 0.000
Ba: 0.500 0.000 0.000
Ba: 0.000 0.000 0.500
Cl: 0.500 0.500 0.500